A plane-wave DFT calculation with GGA-PBE was carried out for CsK3H4 after structural relaxation.

The structure in POSCAR format:
```
CsK3H4
1.0
5.380 0.005 -2.385
-1.062 5.274 -2.385
-0.051 -0.062 7.146
Cs K H
1 3 4
Cartesian
0.000 0.000 0.000
2.159 2.639 -2.385
3.744 1.291 1.188
0.523 3.925 1.188
4.798 2.580 3.569
1.577 5.214 3.569
1.123 1.373 2.536
3.144 3.844 -0.159
```

Summary:
E ... -2.373 eV per atom
E above lowest polymorph ... 0.000 eV per atom

***

A plane-wave DFT calculation with GGA-PBE was carried out for Cs6K3H after structural relaxation.

The structure in POSCAR format:
```
Cs6K3H
1.0
-7.700 3.826 -1.043
-5.047 -12.086 -7.067
-2.050 -0.106 14.740
Cs K H
12 6 2
Cartesian
-5.773 -8.604 3.294
-9.160 -4.839 6.143
-5.680 -4.022 10.241
-11.039 -8.141 -1.261
-3.162 -0.713 12.748
-8.747 -0.036 8.658
-6.444 -8.135 -2.081
-9.493 -8.718 -5.828
-3.534 -0.337 7.921
-8.893 -4.456 -3.581
-3.450 -4.614 0.783
-6.837 -0.850 3.632
-10.812 -8.808 3.886
-6.454 -8.692 8.101
-4.107 -4.686 5.560
-8.461 -4.788 1.372
-1.776 -0.656 3.043
-6.134 -0.772 -1.172
-3.384 -2.191 10.195
-9.008 -7.371 -3.239
```

Summary:
E ... -1.185 eV per atom

***

A plane-wave DFT calculation with GGA-PBE was carried out for CsK2H3 after structural relaxation.

The structure in POSCAR format:
```
CsK2H3
1.0
-3.897 0.691 -2.576
1.921 -7.180 -0.504
-5.539 -2.032 7.834
Cs K H
2 4 6
Cartesian
-1.399 -3.949 1.056
-6.116 -4.571 3.698
0.000 0.000 0.000
-2.769 -1.016 3.917
-3.333 -0.215 0.657
-4.181 -8.305 4.097
-2.176 -1.360 -1.401
-4.158 -2.456 5.631
-4.503 -2.213 1.890
-3.357 -6.064 -0.877
-5.338 -7.160 6.155
-3.012 -6.307 2.864
```

Summary:
E ... -2.282 eV per atom

***

A plane-wave DFT calculation with GGA-PBE was carried out for Cs3KH after structural relaxation.

The structure in POSCAR format:
```
Cs3KH
1.0
8.360 0.000 0.000
0.000 8.360 0.000
0.000 0.000 8.360
Cs H K
3 1 1
Cartesian
0.000 4.180 0.000
0.000 0.000 4.180
4.180 0.000 0.000
4.180 4.180 4.180
0.000 0.000 0.000
```

Summary:
E ... -0.903 eV per atom
E above lowest polymorph ... 0.516 eV per atom

***

A plane-wave DFT calculation with GGA-PBE was carried out for Cs3K12H5 after structural relaxation.

The structure in POSCAR format:
```
Cs3K12H5
1.0
-14.429 -8.377 -6.473
12.285 1.565 -12.918
6.799 -9.463 13.583
Cs H K
12 20 48
Cartesian
-5.365 -6.878 -8.001
-2.562 -7.338 -13.655
8.052 -7.881 -3.627
0.478 -5.447 1.860
-9.390 -9.500 -3.883
3.967 -4.529 -7.106
0.688 -11.746 1.297
14.045 -6.774 -1.926
4.177 -10.827 -7.669
-3.397 -8.393 -2.182
7.217 -8.936 7.846
10.020 -9.396 2.193
4.503 -2.826 -2.258
6.143 0.783 -6.459
0.000 0.000 0.000
-1.490 -3.933 -3.959
-3.815 -8.920 3.555
-1.072 -3.406 -9.696
9.960 -3.422 -5.404
-3.337 -14.367 5.415
-0.594 -8.853 -7.835
1.224 -10.043 6.145
3.431 -6.231 -11.954
2.328 -8.137 -2.904
-7.214 -4.188 -3.236
3.400 -4.731 6.791
5.249 -7.421 2.027
7.992 -1.907 -11.224
9.542 -3.949 0.332
-5.305 -12.853 -0.404
6.145 -12.341 -1.850
0.152 -13.448 -3.551
-2.069 -14.680 7.724
4.102 -5.398 -2.764
6.892 -2.700 -1.112
-4.083 -4.469 -4.120
4.560 -10.521 -2.949
8.498 -1.208 -5.385
8.678 -5.095 -7.014
10.125 -0.337 -11.376
-3.725 -11.754 5.176
-1.106 -6.633 -9.194
-2.603 -10.030 -6.564
5.964 -14.471 -3.421
10.234 -4.104 -2.856
-0.663 -3.706 -6.469
12.429 -3.279 -6.363
-0.724 -9.139 4.588
2.397 -2.052 -0.843
1.766 -4.428 -10.949
1.929 -8.348 -12.498
4.621 -1.153 -4.313
0.005 -11.260 8.162
1.114 -8.136 -5.937
0.219 -10.613 -9.646
-2.084 -15.097 3.194
3.541 -8.138 0.128
4.437 -5.662 3.837
6.739 -1.177 -9.003
2.727 -7.926 6.689
4.651 -5.014 -13.970
0.034 -15.121 -1.496
2.890 -11.846 5.140
5.380 -7.135 -10.397
2.258 -14.222 -4.966
-7.774 -12.995 0.554
-5.579 -12.170 -2.953
-1.309 -1.803 -2.388
5.318 -12.568 0.661
8.380 -4.520 -10.984
5.761 -9.641 3.385
7.258 -6.245 0.756
-5.470 -15.937 5.567
-4.022 -11.179 1.205
8.738 -11.805 -1.689
-3.843 -15.066 -0.424
0.095 -5.753 -2.859
-2.237 -13.574 -4.697
0.554 -10.876 -3.044
6.724 -1.594 -13.533
```

Summary:
E ... -1.540 eV per atom

***

A plane-wave DFT calculation with GGA-PBE was carried out for Cs4KH5 after structural relaxation.

The structure in POSCAR format:
```
Cs4KH5
1.0
4.367 0.000 0.535
2.151 3.801 0.535
-0.022 -0.013 18.261
Cs K H
4 1 5
Cartesian
5.837 3.404 6.626
1.945 1.134 2.212
4.550 2.653 17.120
0.659 0.384 12.706
3.248 1.894 9.666
2.603 1.518 14.921
0.000 0.000 0.000
3.892 2.269 4.412
5.233 3.051 11.552
1.263 0.736 7.780
```

Summary:
E ... -2.298 eV per atom

***

A plane-wave DFT calculation with GGA-PBE was carried out for Cs2KH after structural relaxation.

The structure in POSCAR format:
```
Cs2KH
1.0
-9.074 -1.899 -1.871
2.258 -1.945 -8.976
-2.464 -7.954 -3.879
Cs H K
4 2 2
Cartesian
-4.456 -3.094 -2.942
-1.888 -3.765 -7.133
-4.018 -7.739 -8.509
-8.197 -8.997 -10.868
-3.408 -1.922 -5.423
-1.807 -5.910 -9.139
0.000 0.000 0.000
-7.473 -5.887 -5.587
```

Summary:
E ... -1.561 eV per atom
E above lowest polymorph ... 0.019 eV per atom

***

A plane-wave DFT calculation with GGA-PBE was carried out for CsKH after structural relaxation.

The structure in POSCAR format:
```
CsKH
1.0
3.969 0.000 0.000
0.000 3.969 0.000
-1.985 -1.985 8.063
Cs H K
1 1 1
Cartesian
0.000 0.000 0.933
1.985 1.985 2.502
0.000 0.000 4.628
```

Summary:
E ... -1.735 eV per atom
E above lowest polymorph ... 0.100 eV per atom